Material: Pr3As2Cl
Method: DFT, GGA-PBE
State: optimized geometry

crystal system: orthorhombic
M_tot: 0.0 μB/cell
electronic total energy: -5.8038 eV per atom

Structure (extended XYZ):
```
6
Lattice="-2.133 3.001 6.467 2.133 -3.001 6.467 2.133 3.001 -6.467" Properties=species:S:1:pos:R:3 pbc="T T T"
Pr 0.000 0.000 0.000
Pr 0.000 0.000 4.123
Pr 0.000 0.000 8.811
As 2.133 0.000 2.103
As 0.000 3.001 4.365
Cl 0.000 3.001 0.000
```